Compound: Ce2Pm3YP6
Source: the Alexandria database
Functional: GGA-PBE
Structure: relaxed

Results
total magnetization: 0.78 μB/cell
E: -0.513 Ry/atom
formation enthalpy at 0 K: -18.7 eV per formula unit

```
Ce2Pm3YP6
1.0
3.544 -6.138 0.000
3.544 6.138 0.000
-2.363 0.000 6.690
Ce Pm Y P
2 3 1 6
Cartesian
3.544 4.092 0.000
3.544 -4.092 0.000
-1.181 0.000 3.345
2.362 2.045 3.345
2.362 -2.045 3.345
3.544 0.000 0.000
-0.001 2.048 5.065
1.179 0.000 1.633
-0.001 -2.048 5.065
4.726 2.048 1.626
3.545 0.000 5.057
4.726 -2.048 1.626
```

Compound: CePm3Y2P6
Source: the Alexandria database
Functional: GGA-PBE
Structure: relaxed

Results
total magnetization: 0.27 μB/cell
E: -0.518 Ry/atom
formation enthalpy at 0 K: -19.0 eV per formula unit

```
CePm3Y2P6
1.0
3.533 -6.119 0.000
3.533 6.119 0.000
-2.356 0.000 6.674
Ce Pm Y P
1 3 2 6
Cartesian
0.000 0.000 0.000
2.355 4.077 3.337
2.355 0.000 3.337
2.355 -4.077 3.337
3.533 2.038 0.000
3.533 -2.038 0.000
1.174 2.033 1.623
-0.008 0.000 5.058
1.174 -2.033 1.623
3.537 2.033 5.051
4.719 0.000 1.616
3.537 -2.033 5.051
```

Copy entry 1 word for word.
Compound: Ce2Pm3YP6
Source: the Alexandria database
Functional: GGA-PBE
Structure: relaxed

Results
total magnetization: 0.78 μB/cell
E: -0.513 Ry/atom
formation enthalpy at 0 K: -18.7 eV per formula unit

```
Ce2Pm3YP6
1.0
3.544 -6.138 0.000
3.544 6.138 0.000
-2.363 0.000 6.690
Ce Pm Y P
2 3 1 6
Cartesian
3.544 4.092 0.000
3.544 -4.092 0.000
-1.181 0.000 3.345
2.362 2.045 3.345
2.362 -2.045 3.345
3.544 0.000 0.000
-0.001 2.048 5.065
1.179 0.000 1.633
-0.001 -2.048 5.065
4.726 2.048 1.626
3.545 0.000 5.057
4.726 -2.048 1.626
```

Among the records above, which one has the lowest total magnetization?
CePm3Y2P6

What is the E in the second record?
-0.518 Ry/atom